Entry 1:
A plane-wave DFT calculation with PBE-GGA was carried out for a relaxed structure of Pm3Sm2DyS6.

POSCAR file:
```
Pm3Sm2DyS6
1.0
3.460 -6.014 0.000
3.460 6.014 0.000
-2.312 0.000 6.542
Pm Sm Dy S
3 2 1 6
direct
0.000 0.000 0.000
0.331 0.669 0.000
0.669 0.331 0.000
0.167 0.833 0.500
0.833 0.167 0.500
0.500 0.500 0.500
0.091 0.419 0.256
0.255 0.255 0.746
0.419 0.091 0.256
0.581 0.909 0.744
0.745 0.745 0.254
0.909 0.581 0.744
```



Entry 2:
A plane-wave DFT calculation with PBE-GGA was carried out for a relaxed structure of PmSm2DyS4.

POSCAR file:
```
PmSm2DyS4
1.0
6.922 0.000 0.000
0.000 3.954 0.000
-2.266 0.000 6.564
Pm Sm Dy S
1 2 1 4
direct
0.000 0.000 0.000
0.500 0.000 0.500
0.500 0.500 0.000
0.000 0.500 0.500
0.244 0.000 0.742
0.248 0.500 0.255
0.752 0.500 0.745
0.756 0.000 0.258
```



Entry 3:
A plane-wave DFT calculation with PBE-GGA was carried out for a relaxed structure of PmSmDy4S8.

POSCAR file:
```
PmSmDy4S8
1.0
4.049 2.338 6.657
-4.049 2.338 6.657
0.000 -4.675 6.657
Pm Sm Dy S
1 1 4 8
direct
0.000 0.000 0.000
0.625 0.625 0.625
0.128 0.625 0.625
0.252 0.252 0.252
0.625 0.128 0.625
0.625 0.625 0.128
0.379 0.379 0.857
0.379 0.857 0.379
0.384 0.384 0.384
0.404 0.870 0.870
0.857 0.379 0.379
0.865 0.865 0.865
0.870 0.404 0.870
0.870 0.870 0.404
```



Entry 4:
A plane-wave DFT calculation with PBE-GGA was carried out for a relaxed structure of Pm3SmDy3S8.

POSCAR file:
```
Pm3SmDy3S8
1.0
3.955 2.284 6.510
-3.955 2.284 6.510
0.000 -4.567 6.510
Pm Sm Dy S
3 1 3 8
direct
0.000 0.500 0.500
0.500 0.000 0.500
0.500 0.500 0.000
0.500 0.500 0.500
0.000 0.000 0.500
0.000 0.500 0.000
0.500 0.000 0.000
0.240 0.752 0.752
0.246 0.246 0.246
0.248 0.248 0.760
0.248 0.760 0.248
0.752 0.240 0.752
0.752 0.752 0.240
0.754 0.754 0.754
0.760 0.248 0.248
```



Entry 5:
A plane-wave DFT calculation with PBE-GGA was carried out for a relaxed structure of Pm2SmDy3S6.

POSCAR file:
```
Pm2SmDy3S6
1.0
3.417 -5.939 0.000
3.417 5.939 0.000
-2.283 0.000 6.515
Pm Sm Dy S
2 1 3 6
direct
0.167 0.833 0.000
0.833 0.167 0.000
0.500 0.500 0.000
0.000 0.000 0.500
0.333 0.667 0.500
0.667 0.333 0.500
0.081 0.413 0.739
0.255 0.255 0.262
0.413 0.081 0.739
0.587 0.919 0.261
0.745 0.745 0.738
0.919 0.587 0.261
```



Entry 6:
A plane-wave DFT calculation with PBE-GGA was carried out for a relaxed structure of Pm4SmDyS8.

POSCAR file:
```
Pm4SmDyS8
1.0
4.121 2.379 6.723
-4.121 2.379 6.723
0.000 -4.758 6.723
Pm Sm Dy S
4 1 1 8
direct
0.000 0.000 0.000
0.376 0.376 0.872
0.376 0.872 0.376
0.872 0.376 0.376
0.376 0.376 0.376
0.750 0.750 0.750
0.133 0.133 0.133
0.134 0.134 0.600
0.134 0.600 0.134
0.139 0.620 0.620
0.600 0.134 0.134
0.620 0.139 0.620
0.620 0.620 0.139
0.621 0.621 0.621
```



Entry 7:
A plane-wave DFT calculation with PBE-GGA was carried out for a relaxed structure of PmSmDy2S4.

POSCAR file:
```
PmSmDy2S4
1.0
6.844 0.000 0.000
0.000 3.919 0.000
-2.251 0.000 6.566
Pm Sm Dy S
1 1 2 4
direct
0.000 0.000 0.000
0.500 0.500 0.000
0.000 0.500 0.500
0.500 0.000 0.500
0.247 0.000 0.739
0.255 0.500 0.262
0.745 0.500 0.738
0.753 0.000 0.261
```



Entry 8:
A plane-wave DFT calculation with PBE-GGA was carried out for a relaxed structure of Sr2PmDyS4.

POSCAR file:
```
Sr2PmDyS4
1.0
7.054 0.000 0.000
0.000 4.074 0.000
-2.350 0.000 6.822
Sr Pm Dy S
2 1 1 4
direct
0.000 0.000 0.000
0.500 0.500 0.000
0.000 0.500 0.500
0.500 0.000 0.500
0.251 0.000 0.735
0.262 0.500 0.269
0.738 0.500 0.731
0.749 0.000 0.265
```



| no. | total magnetic moment (μB/atom) | electronic total energy (eV/atom) |
| --- | --- | --- |
| 1 | 0.0000 | -6.449 |
| 2 | 0.0000 | -6.427 |
| 3 | 0.0000 | -6.278 |
| 4 | 0.0000 | -6.437 |
| 5 | 0.0000 | -6.417 |
| 6 | 0.0000 | -6.301 |
| 7 | 0.0000 | -6.410 |
| 8 | 0.0000 | -5.697 |